[1]
# PmGa5Ir2

A relaxed PmGa5Ir2 crystal (PBE, Alexandria).

Cell lengths 6.546, 6.546, 6.546 Å; angles 144.57, 111.70, 79.36 degrees
Positions (direct):
Pm 0.000 0.000 0.000
Ga 0.154 0.352 0.802
Ga 0.450 0.648 0.802
Ga 0.500 0.000 0.500
Ga 0.550 0.352 0.198
Ga 0.846 0.648 0.198
Ir 0.260 0.760 0.500
Ir 0.740 0.240 0.500

Results
As for the space group: Immm (71). The formation energy from the elements comes out at -0.5420 eV per atom. As for the density of states at the Fermi level: 3.02 states/eV per cell. For the total energy, the calculation gives -5.2428 eV per atom. For the volume, the calculation gives 147 Å³/cell.

[2]
# FeCu2Tc

A relaxed FeCu2Tc crystal (PBE, Alexandria).

Cell lengths 4.728, 4.728, 2.498 Å; angles 90.00, 90.00, 113.99 degrees
Positions (direct):
Fe 0.000 0.000 0.000
Cu 0.000 0.500 0.500
Cu 0.500 0.000 0.500
Tc 0.500 0.500 0.000

Results
As for the space group: Cmmm (65). The formation energy from the elements comes out at 0.2407 eV per atom. Its excess energy over the best structure of this formula in the dataset is 89.8 meV per atom. As for the density of states at the Fermi level: 4.09 states/eV per cell. For the total energy, the calculation gives -6.5146 eV per atom. For the volume, the calculation gives 51 Å³/cell.

[3]
# PmB3

A relaxed PmB3 crystal (PBE, Alexandria).

Cell lengths 10.028, 10.028, 10.028 Å; angles 25.79, 25.79, 25.79 degrees
Positions (direct):
Pm 0.000 0.000 0.000
Pm 0.118 0.118 0.118
Pm 0.882 0.882 0.882
B 0.030 0.392 0.392
B 0.392 0.030 0.392
B 0.392 0.392 0.030
B 0.400 0.400 0.400
B 0.500 0.500 0.500
B 0.600 0.600 0.600
B 0.608 0.608 0.970
B 0.608 0.970 0.608
B 0.970 0.608 0.608

Results
As for the space group: R-3m (166). The formation energy from the elements comes out at -0.1210 eV per atom. Its excess energy over the best structure of this formula in the dataset is 0.0 meV per atom. As for the density of states at the Fermi level: 6.34 states/eV per cell. For the total energy, the calculation gives -6.3167 eV per atom. For the volume, the calculation gives 168 Å³/cell.

[4]
# ZrTlSe2

A relaxed ZrTlSe2 crystal (PBE, Alexandria).

Cell lengths 3.767, 3.767, 8.867 Å; angles 102.12, 102.12, 60.03 degrees
Positions (direct):
Zr 0.000 0.000 0.000
Tl 0.840 0.840 0.511
Se 0.396 0.396 0.192
Se 0.603 0.603 0.808

Results
As for the space group: Cm (8). The formation energy (no corrections) is -396 kJ/mol of formula units. As for the density of states at the Fermi level: 2.40 states/eV per cell. For the total energy, the calculation gives -5.4959 eV per atom. For the volume, the calculation gives 106 Å³/cell.

[5]
# TbPr6In2

A relaxed TbPr6In2 crystal (PBE, Alexandria).

Cell lengths 10.034, 10.034, 3.503 Å; angles 99.99, 99.99, 56.94 degrees
Positions (direct):
Tb 0.000 0.000 0.000
Pr 0.016 0.643 0.331
Pr 0.336 0.664 0.500
Pr 0.357 0.984 0.669
Pr 0.643 0.016 0.331
Pr 0.664 0.336 0.500
Pr 0.984 0.357 0.669
In 0.346 0.346 0.848
In 0.654 0.654 0.152

Results
As for the space group: C2/m (12). The formation energy from the elements comes out at -0.0827 eV per atom. Its excess energy over the best structure of this formula in the dataset is 114.9 meV per atom. As for the density of states at the Fermi level: 12.74 states/eV per cell. For the total energy, the calculation gives -4.3920 eV per atom. For the volume, the calculation gives 290 Å³/cell.